Here is a relaxed Cr2InP crystal from Alexandria. Energies are from PBE-GGA.

The calculation puts the total magnetization at 0.2 Bohr magnetons per cell. Its energy relative to the lowest polymorph listed for this composition is 0.040 eV per atom. For the total energy, the calculation gives -27.132 eV/cell. Its calculated density is 7.1 g cm⁻³. The value obtained for the volume is 58.6 Å³/cell.

Cell: 3.040 3.040 6.338 Å, 90.00 90.00 90.00°
Element x y z (fractional)
1 Cr 0.000 0.000 0.000
2 Cr 0.500 0.500 0.220
3 In 0.000 0.000 0.504
4 P 0.500 0.500 0.843

***

Here is a relaxed Np2ScP3 crystal from Alexandria. Energies are from PBE-GGA.

The calculation puts the total magnetization at 29.2 Bohr magnetons per cell. For the total energy, the calculation gives -219.501 eV/cell. Its calculated density is 8.1 g cm⁻³. The value obtained for the volume is 499.6 Å³/cell.

Cell: 12.906 12.305 6.738 Å, 79.49 69.62 30.88°
Element x y z (fractional)
1 Np 0.042 0.042 0.208
2 Np 0.125 0.125 0.625
3 Np 0.208 0.208 0.042
4 Np 0.375 0.375 0.875
5 Np 0.625 0.625 0.125
6 Np 0.792 0.792 0.958
7 Np 0.875 0.875 0.375
8 Np 0.958 0.958 0.792
9 Sc 0.291 0.291 0.459
10 Sc 0.459 0.459 0.291
11 Sc 0.541 0.541 0.709
12 Sc 0.709 0.709 0.541
13 P 0.040 0.541 0.217
14 P 0.133 0.617 0.617
15 P 0.217 0.702 0.040
16 P 0.298 0.783 0.459
17 P 0.383 0.867 0.867
18 P 0.459 0.960 0.298
19 P 0.541 0.040 0.702
20 P 0.617 0.133 0.133
21 P 0.702 0.217 0.541
22 P 0.783 0.298 0.960
23 P 0.867 0.383 0.383
24 P 0.960 0.459 0.783